The following is a SCAN calculation of Tl2TeBr at its PBEsol-relaxed geometry, from Alexandria via LeMat-Bulk.

Values from the calculation:
M_tot (μB/f.u.): 0.00
Raw formation energy (kJ per mole of atoms): -38.8
Calculated total energy (eV per atom): -50.759
Energy above the most stable polymorph in this dataset (meV per atom): 76
Crystal system: cubic

```
4
Lattice="0.000 3.867 3.867 3.867 0.000 3.867 3.867 3.867 0.000" Properties=species:S:1:pos:R:3 pbc="T T T"
Tl 1.934 1.934 1.934
Tl 5.801 5.801 5.801
Te 0.000 0.000 0.000
Br 3.867 3.867 3.867
```